(1)
Computed, not measured: crystalline GaC at its relaxed geometry at the PBE-GGA level of DFT.

abc: 2.5416 4.3111 5.4079
angles: 104.77 103.43 107.09
Space group P-1 (No. 2)
Inequivalent atoms, fractional coordinates:
Ga: 0.2028 0.1215 0.2878
C: 0.2093 0.4193 0.9992

Summary:
The energy relative to the elements is 502 meV/atom. The value obtained for the distance to the lowest polymorph of the same formula is 262 meV per atom.

=====

(2)
Computed, not measured: crystalline Li8Ge2Sb at its relaxed geometry at the PBE-GGA level of DFT.

abc: 7.4204 12.5266 4.6173
angles: 90.00 112.92 90.00
Space group C2/m (No. 12)
Inequivalent atoms, fractional coordinates:
Li: 0.0000 0.2197 0.0000
Li: 0.1084 0.5000 0.7868
Li: 0.1961 0.1211 0.6230
Ge: 0.0000 0.3129 0.5000
Sb: 0.0000 0.0000 0.0000

Summary:
The uncorrected formation energy comes out at -0.291 eV/atom.

=====

(3)
Computed, not measured: crystalline Rb2NbAsO6 at its relaxed geometry at the PBE-GGA level of DFT.

abc: 7.9410 7.9410 7.9410
angles: 90.00 90.00 90.00
Space group Fm-3m (No. 225)
Inequivalent atoms, fractional coordinates:
Rb: 0.2500 0.2500 0.2500
Nb: 0.0000 0.0000 0.0000
As: 0.0000 0.0000 0.5000
O: 0.0000 0.0000 0.2585

Summary:
The uncorrected formation energy comes out at -1.701 eV/atom.

=====

(4)
Computed, not measured: crystalline HfPaCu3 at its relaxed geometry at the PBE-GGA level of DFT.

abc: 3.1417 25.5794 4.3065
angles: 90.00 90.00 90.00
Space group Cmcm (No. 63)
Inequivalent atoms, fractional coordinates:
Hf: 0.0000 0.2134 0.2500
Pa: 0.0000 0.0761 0.7500
Cu: 0.0000 0.3226 0.2500
Cu: 0.0000 0.3766 0.7500
Cu: 0.0000 0.4755 0.7500

Summary:
The energy relative to the elements is -74 meV/atom.

=====

(5)
Computed, not measured: crystalline ScZn2Br at its relaxed geometry at the PBE-GGA level of DFT.

abc: 3.4717 3.4717 25.0181
angles: 90.00 90.00 120.00
Space group R-3m (No. 166, hexagonal axes)
Inequivalent atoms, fractional coordinates:
Sc: 0.0000 0.0000 0.0000
Zn: 0.0000 0.0000 0.2488
Br: 0.0000 0.0000 0.5000

Summary:
The value obtained for the distance to the lowest polymorph of the same formula is 259 meV per atom. The uncorrected formation energy comes out at -0.136 eV/atom.

=====

(6)
Computed, not measured: crystalline NaH2Se at its relaxed geometry at the PBE-GGA level of DFT.

abc: 5.7317 5.7317 5.7317
angles: 90.00 90.00 90.00
Space group Fm-3m (No. 225)
Inequivalent atoms, fractional coordinates:
Na: 0.0000 0.0000 0.0000
H: 0.2500 0.2500 0.2500
Se: 0.0000 0.0000 0.5000

Summary:
The value obtained for the distance to the lowest polymorph of the same formula is 657 meV per atom.

=====

(7)
Computed, not measured: crystalline CoW at its relaxed geometry at the PBE-GGA level of DFT.

abc: 4.3690 4.3690 7.1231
angles: 90.00 90.00 120.00
Space group P6_3/mmc (No. 194)
Inequivalent atoms, fractional coordinates:
Co: 0.3333 0.6667 0.0785
W: 0.0000 0.0000 0.2500
W: 0.3333 0.6667 0.7500

Summary:
The energy relative to the elements is 803 meV/atom.

=====

(8)
Computed, not measured: crystalline AcLa2Nd at its relaxed geometry at the PBE-GGA level of DFT.

abc: 4.4183 4.4183 7.8415
angles: 90.00 90.00 90.00
Space group P4/mmm (No. 123)
Inequivalent atoms, fractional coordinates:
Ac: 0.0000 0.0000 0.0000
La: 0.5000 0.5000 0.2799
Nd: 0.0000 0.0000 0.5000

Summary:
The energy relative to the elements is 97 meV/atom. The value obtained for the distance to the lowest polymorph of the same formula is 86 meV per atom.

=====

(9)
Computed, not measured: crystalline LiNpCoN3 at its relaxed geometry at the PBE-GGA level of DFT.

abc: 6.2241 3.3786 7.8363
angles: 90.00 95.98 90.00
Space group P2_1/m (No. 11)
Inequivalent atoms, fractional coordinates:
Li: 0.1408 0.2500 0.1214
Np: 0.3505 0.7500 0.8322
Co: 0.0493 0.2500 0.6050
N: 0.1272 0.2500 0.8472
N: 0.1715 0.7500 0.5703
N: 0.4219 0.7500 0.1205

Summary:
The uncorrected formation energy comes out at -0.523 eV/atom.

=====

(10)
Computed, not measured: crystalline HfZrBi2Sb at its relaxed geometry at the PBE-GGA level of DFT.

abc: 5.5871 5.5871 5.2976
angles: 90.00 90.00 90.00
Space group P4/mmm (No. 123)
Inequivalent atoms, fractional coordinates:
Hf: 0.0000 0.0000 0.0000
Zr: 0.0000 0.0000 0.5000
Bi: 0.0000 0.5000 0.5000
Sb: 0.5000 0.5000 0.0000

Summary:
The uncorrected formation energy comes out at 0.733 eV/atom.

=====

(11)
Computed, not measured: crystalline Co2Ag2Cl7 at its relaxed geometry at the PBE-GGA level of DFT.

abc: 9.5501 10.8312 12.8262
angles: 90.00 110.41 90.00
Space group C2/c (No. 15)
Inequivalent atoms, fractional coordinates:
Co: 0.1948 0.0057 0.2065
Ag: 0.0431 0.3172 0.9726
Cl: 0.0000 0.0764 0.2500
Cl: 0.1071 0.4853 0.1389
Cl: 0.1645 0.1535 0.5964
Cl: 0.2460 0.1707 0.1208

Summary:
The uncorrected formation energy comes out at -0.498 eV/atom.

=====

(12)
Computed, not measured: crystalline CaOsF2 at its relaxed geometry at the PBE-GGA level of DFT.

abc: 3.0905 3.0905 26.2800
angles: 90.00 90.00 120.00
Space group R-3m (No. 166, hexagonal axes)
Inequivalent atoms, fractional coordinates:
Ca: 0.0000 0.0000 0.0000
Os: 0.0000 0.0000 0.5000
F: 0.0000 0.0000 0.3801

Summary:
The value obtained for the distance to the lowest polymorph of the same formula is 0 meV per atom. The uncorrected formation energy comes out at -1.463 eV/atom.